(1)
# MnTl2GaTe | Alexandria via LeMat-Bulk | PBE | optimized geometry
data_MnTl2GaTe
_chemical_formula_sum 'Mn1 Tl2 Ga1 Te1'
_cell_length_a 5.129
_cell_length_b 5.129
_cell_length_c 4.882
_cell_angle_alpha 90.00
_cell_angle_beta 90.00
_cell_angle_gamma 90.00
_space_group_name_H-M_alt 'P 4/m m m'
_space_group_IT_number 123
_space_group_name_Hall '-P 4 2'
loop_
_atom_site_label
_atom_site_type_symbol
_atom_site_fract_x
_atom_site_fract_y
_atom_site_fract_z
Mn1 Mn 0.000 0.000 0.000
Tl1 Tl 0.000 0.500 0.000
Ga1 Ga 0.500 0.500 0.500
Te1 Te 0.000 0.000 0.500
# Formation energy without anion corrections: 0.3998 eV/atom
# Theoretical density: 8.5 Mg/m³

(2)
# MnTl2GaTe5 | Alexandria via LeMat-Bulk | PBE | optimized geometry
data_MnTl2GaTe5
_chemical_formula_sum 'Mn4 Tl8 Ga4 Te20'
_cell_length_a 3.986
_cell_length_b 20.242
_cell_length_c 14.293
_cell_angle_alpha 90.00
_cell_angle_beta 90.00
_cell_angle_gamma 90.00
_space_group_name_H-M_alt 'C m c 21'
_space_group_IT_number 36
_space_group_name_Hall 'C 2c -2'
loop_
_atom_site_label
_atom_site_type_symbol
_atom_site_fract_x
_atom_site_fract_y
_atom_site_fract_z
Mn1 Mn 0.000 0.207 0.000
Tl1 Tl 0.000 0.115 0.653
Tl2 Tl 0.000 0.136 0.289
Ga1 Ga 0.000 0.435 0.403
Te1 Te 0.000 0.067 0.026
Te2 Te 0.000 0.282 0.626
Te3 Te 0.000 0.305 0.367
Te4 Te 0.000 0.336 0.975
Te5 Te 0.000 0.493 0.755
# Formation energy without anion corrections: -0.2081 eV/atom
# Theoretical density: 6.7 Mg/m³